<A>
Computed, not measured: a geometry-optimized Y3ThCo structure at the GGA-PBE level of DFT.

The structure in POSCAR format:
```
Y3ThCo
1.0
-1.338 -3.967 -3.222
5.096 -0.787 -1.147
0.381 -3.399 4.026
Y Co Th
3 1 1
direct
0.000 0.500 0.000
0.000 0.000 0.500
0.500 0.000 0.000
0.000 0.000 0.000
0.500 0.500 0.500
```

- ρ: 6.3 Mg/m³
- Symmetry: No. 221

---

<B>
Computed, not measured: a geometry-optimized Y3ThCo structure at the GGA-PBE level of DFT.

The structure in POSCAR format:
```
Y3ThCo
1.0
6.023 0.141 3.903
-0.137 6.023 3.903
0.098 0.103 8.054
Y Th Co
6 2 2
direct
0.043 0.449 0.794
0.449 0.043 0.794
0.551 0.957 0.206
0.455 0.455 0.257
0.957 0.551 0.206
0.545 0.545 0.743
0.044 0.044 0.668
0.956 0.956 0.332
0.763 0.763 0.866
0.237 0.237 0.134
```

- ρ: 6.4 Mg/m³
- Symmetry: No. 12

---

Of them, <B> has the highest stability.